Entry 1:
Computed, not measured: crystalline Li2Al2Cd at its relaxed geometry at the PBE level of DFT.

abc: 7.6098 7.6098 3.0786
angles: 90.00 90.00 90.00
With the nearest neighbours (Å) after each atom.
Sites, in units of the cell vectors:
Li (0.1752, 0.3248, 0.0000)  6 Al 2.66-2.77
Li (0.3248, 0.8248, 0.0000)  6 Al 2.66-2.77
Li (0.6752, 0.1752, 0.0000)  6 Al 2.66-2.77
Li (0.8248, 0.6752, 0.0000)  6 Al 2.66-2.77
Al (0.1233, 0.6233, 0.5000)  1 Al 2.65, 6 Li 2.66-2.77
Al (0.3767, 0.1233, 0.5000)  1 Al 2.65, 6 Li 2.66-2.77
Al (0.6233, 0.8767, 0.5000)  1 Al 2.65, 6 Li 2.66-2.77
Al (0.8767, 0.3767, 0.5000)  1 Al 2.65, 6 Li 2.66-2.77
Cd (0.0000, 0.0000, 0.5000)  4 Al 3.02, 2 Cd 3.08, 8 Li 3.20
Cd (0.5000, 0.5000, 0.5000)  4 Al 3.02, 2 Cd 3.08, 8 Li 3.20

Calculated values
uncorrected energy = -2.50 eV/atom
magnetization = 0.0 Bohr magnetons per cell
volume = 17.83 Å³ per atom
ρ = 3.36 g cm⁻³
polymorph energy (0 for the lowest one) = 0.068 eV/atom
calculated formation energy = -50 meV per atom


Entry 2:
Computed, not measured: crystalline LiAlCd2 at its relaxed geometry at the PBE level of DFT.

abc: 9.7130 3.0842 5.2452
angles: 90.00 99.19 90.00
With the nearest neighbours (Å) after each atom.
Sites, in units of the cell vectors:
Li (0.0000, 0.0000, 0.0000)  7 Cd 2.87-3.13, 3 Al 2.95-3.00, 2 Li 3.08
Li (0.5000, 0.5000, 0.0000)  7 Cd 2.87-3.13, 3 Al 2.95-3.00, 2 Li 3.08
Al (0.2434, 0.5000, 0.2516)  7 Cd 2.89-3.13, 3 Li 2.95-3.00, 2 Al 3.08
Al (0.7434, 0.0000, 0.2516)  7 Cd 2.89-3.13, 3 Li 2.95-3.00, 2 Al 3.08
Cd (0.2508, 0.0000, 0.7739)  3 Li 2.87-2.95, 4 Al 2.95-3.13, 5 Cd 3.00-3.14
Cd (0.4917, 0.0000, 0.4795)  3 Al 2.89-2.95, 4 Li 2.96-3.13, 5 Cd 3.00-3.14
Cd (0.7508, 0.5000, 0.7739)  3 Li 2.87-2.95, 4 Al 2.95-3.13, 5 Cd 3.00-3.14
Cd (0.9917, 0.5000, 0.4795)  3 Al 2.89-2.95, 4 Li 2.96-3.13, 5 Cd 3.00-3.14

Calculated values
uncorrected energy = -1.94 eV/atom
magnetization = 0.0 Bohr magnetons per cell
volume = 19.39 Å³ per atom
ρ = 5.54 g cm⁻³
calculated formation energy = -65 meV per atom


Entry 3:
Computed, not measured: crystalline Li2Al2Cd at its relaxed geometry at the PBE level of DFT.

abc: 5.4934 5.4934 7.3492
angles: 108.58 108.58 56.48
With the nearest neighbours (Å) after each atom.
Sites, in units of the cell vectors:
Li (0.0426, 0.3509, 0.1485)  6 Al 2.83-3.03, 3 Cd 2.86-2.89, 3 Li 2.91-2.99
Li (0.3509, 0.0426, 0.6485)  6 Al 2.83-3.03, 3 Cd 2.86-2.89, 3 Li 2.91-2.99
Li (0.6491, 0.9574, 0.3515)  6 Al 2.83-3.03, 3 Cd 2.86-2.89, 3 Li 2.91-2.99
Li (0.9574, 0.6491, 0.8515)  6 Al 2.83-3.03, 3 Cd 2.86-2.89, 3 Li 2.91-2.99
Al (0.2296, 0.5671, 0.5515)  3 Al 2.82-2.93, 6 Li 2.83-3.03, 3 Cd 2.84-3.02
Al (0.4329, 0.7704, 0.9485)  3 Al 2.82-2.93, 6 Li 2.83-3.03, 3 Cd 2.84-3.02
Al (0.5671, 0.2296, 0.0515)  3 Al 2.82-2.93, 6 Li 2.83-3.03, 3 Cd 2.84-3.02
Al (0.7704, 0.4329, 0.4485)  3 Al 2.82-2.93, 6 Li 2.83-3.03, 3 Cd 2.84-3.02
Cd (0.1789, 0.8211, 0.2500)  6 Al 2.84-3.02, 6 Li 2.86-2.89
Cd (0.8211, 0.1789, 0.7500)  6 Al 2.84-3.02, 6 Li 2.86-2.89

Calculated values
uncorrected energy = -2.56 eV/atom
magnetization = 0.0 Bohr magnetons per cell
volume = 17.24 Å³ per atom
ρ = 3.47 g cm⁻³
polymorph energy (0 for the lowest one) = 0.000 eV/atom
calculated formation energy = -117 meV per atom


Entry 4:
Computed, not measured: crystalline Li3AlCd6 at its relaxed geometry at the PBE level of DFT.

abc: 8.0438 4.8561 10.6278
angles: 90.00 109.67 90.00
With the nearest neighbours (Å) after each atom.
Sites, in units of the cell vectors:
Li (0.0956, 0.2500, 0.2302)  8 Cd 2.93-3.02, 3 Li 3.06-3.11, 1 Al 3.08
Li (0.2995, 0.2500, 0.0279)  11 Cd 2.98-3.10, 1 Li 3.11
Li (0.3096, 0.7500, 0.3722)  9 Cd 2.93-3.11, 2 Li 3.06, 1 Al 3.07
Li (0.6904, 0.2500, 0.6278)  9 Cd 2.93-3.11, 2 Li 3.06, 1 Al 3.07
Li (0.7005, 0.7500, 0.9721)  11 Cd 2.98-3.10, 1 Li 3.11
Li (0.9044, 0.7500, 0.7698)  8 Cd 2.93-3.02, 3 Li 3.06-3.11, 1 Al 3.08
Al (0.0978, 0.7500, 0.5643)  8 Cd 2.94-3.10, 2 Al 2.96, 2 Li 3.07-3.08
Al (0.9022, 0.2500, 0.4357)  8 Cd 2.94-3.10, 2 Al 2.96, 2 Li 3.07-3.08
Cd (0.0839, 0.2500, 0.7300)  4 Li 2.93-3.06, 5 Cd 2.97-3.22, 3 Al 2.97-3.02
Cd (0.0969, 0.7500, 0.0680)  5 Cd 2.97-3.10, 7 Li 2.98-3.11
Cd (0.2900, 0.2500, 0.5216)  4 Li 2.93-3.03, 3 Al 2.94-2.99, 5 Cd 2.97-3.18
Cd (0.2979, 0.7500, 0.8657)  4 Li 2.98-3.05, 7 Cd 3.04-3.12, 1 Al 3.06
Cd (0.4905, 0.7500, 0.1669)  8 Cd 2.98-3.22, 4 Li 2.98-3.08
Cd (0.4928, 0.2500, 0.3339)  5 Li 2.94-3.10, 6 Cd 2.97-3.12, 1 Al 3.10
Cd (0.5072, 0.7500, 0.6661)  5 Li 2.94-3.10, 6 Cd 2.97-3.12, 1 Al 3.10
Cd (0.5095, 0.2500, 0.8331)  8 Cd 2.98-3.22, 4 Li 2.98-3.08
Cd (0.7021, 0.2500, 0.1343)  4 Li 2.98-3.05, 7 Cd 3.04-3.12, 1 Al 3.06
Cd (0.7100, 0.7500, 0.4784)  4 Li 2.93-3.03, 3 Al 2.94-2.99, 5 Cd 2.97-3.18
Cd (0.9031, 0.2500, 0.9320)  5 Cd 2.97-3.10, 7 Li 2.98-3.11
Cd (0.9161, 0.7500, 0.2700)  4 Li 2.93-3.06, 5 Cd 2.97-3.22, 3 Al 2.97-3.02

Calculated values
uncorrected energy = -1.66 eV/atom
magnetization = 0.0 Bohr magnetons per cell
volume = 19.55 Å³ per atom
ρ = 6.14 g cm⁻³
calculated formation energy = -160 meV per atom


Entry 5:
Computed, not measured: crystalline Li3AlCd at its relaxed geometry at the PBE level of DFT.

abc: 5.4158 4.5796 7.1657
angles: 90.00 102.44 90.00
With the nearest neighbours (Å) after each atom.
Sites, in units of the cell vectors:
Li (0.0488, 0.2500, 0.3391)  1 Al 2.75, 4 Li 2.76-2.93, 3 Cd 2.79-2.86
Li (0.2560, 0.2500, 0.7523)  6 Li 2.78-2.93, 1 Al 2.81, 1 Cd 2.86
Li (0.4381, 0.2500, 0.1460)  4 Li 2.76-2.83, 3 Al 2.81-2.93, 1 Cd 2.92
Li (0.5619, 0.7500, 0.8540)  4 Li 2.76-2.83, 3 Al 2.81-2.93, 1 Cd 2.92
Li (0.7440, 0.7500, 0.2477)  6 Li 2.78-2.93, 1 Al 2.81, 1 Cd 2.86
Li (0.9512, 0.7500, 0.6609)  1 Al 2.75, 4 Li 2.76-2.93, 3 Cd 2.79-2.86
Al (0.1382, 0.7500, 0.0487)  2 Al 2.74, 5 Li 2.75-2.93, 1 Cd 2.81
Al (0.8618, 0.2500, 0.9513)  2 Al 2.74, 5 Li 2.75-2.93, 1 Cd 2.81
Cd (0.3379, 0.7500, 0.4449)  5 Li 2.79-2.92, 1 Al 2.81, 2 Cd 2.89
Cd (0.6621, 0.2500, 0.5551)  5 Li 2.79-2.92, 1 Al 2.81, 2 Cd 2.89

Calculated values
uncorrected energy = -2.28 eV/atom
magnetization = 0.0 Bohr magnetons per cell
volume = 17.36 Å³ per atom
ρ = 3.07 g cm⁻³
polymorph energy (0 for the lowest one) = 0.000 eV/atom
calculated formation energy = -197 meV per atom


Entry 6:
Computed, not measured: crystalline LiMgAlCd at its relaxed geometry at the PBE level of DFT.

abc: 6.6975 6.6975 6.6975
angles: 90.00 90.00 90.00
With the nearest neighbours (Å) after each atom.
Sites, in units of the cell vectors:
Li (0.0000, 0.0000, 0.0000)  4 Mg 2.90, 4 Al 2.90
Li (0.0000, 0.5000, 0.5000)  4 Mg 2.90, 4 Al 2.90
Li (0.5000, 0.0000, 0.5000)  4 Mg 2.90, 4 Al 2.90
Li (0.5000, 0.5000, 0.0000)  4 Mg 2.90, 4 Al 2.90
Mg (0.2500, 0.2500, 0.2500)  4 Cd 2.90, 4 Li 2.90
Mg (0.2500, 0.7500, 0.7500)  4 Cd 2.90, 4 Li 2.90
Mg (0.7500, 0.2500, 0.7500)  4 Cd 2.90, 4 Li 2.90
Mg (0.7500, 0.7500, 0.2500)  4 Cd 2.90, 4 Li 2.90
Al (0.2500, 0.2500, 0.7500)  4 Cd 2.90, 4 Li 2.90
Al (0.2500, 0.7500, 0.2500)  4 Cd 2.90, 4 Li 2.90
Al (0.7500, 0.2500, 0.2500)  4 Cd 2.90, 4 Li 2.90
Al (0.7500, 0.7500, 0.7500)  4 Cd 2.90, 4 Li 2.90
Cd (0.0000, 0.0000, 0.5000)  4 Mg 2.90, 4 Al 2.90
Cd (0.0000, 0.5000, 0.0000)  4 Mg 2.90, 4 Al 2.90
Cd (0.5000, 0.0000, 0.0000)  4 Mg 2.90, 4 Al 2.90
Cd (0.5000, 0.5000, 0.5000)  4 Mg 2.90, 4 Al 2.90

Calculated values
uncorrected energy = -2.12 eV/atom
magnetization = 0.0 Bohr magnetons per cell
volume = 18.78 Å³ per atom
ρ = 3.77 g cm⁻³
polymorph energy (0 for the lowest one) = 0.000 eV/atom
calculated formation energy = -82 meV per atom


Entry 7:
Computed, not measured: crystalline Li5Mg2AlCd2 at its relaxed geometry at the PBE level of DFT.

abc: 10.6849 10.6849 3.4503
angles: 90.00 90.00 90.00
With the nearest neighbours (Å) after each atom.
Sites, in units of the cell vectors:
Li (0.0000, 0.5000, 0.0000)  4 Cd 2.64
Li (0.0585, 0.1889, 0.0000)  2 Cd 2.69, 2 Al 2.73, 2 Li 2.99
Li (0.1889, 0.9415, 0.0000)  2 Cd 2.69, 2 Al 2.73, 2 Li 2.99
Li (0.3111, 0.4415, 0.0000)  2 Cd 2.69, 2 Al 2.73, 2 Li 2.99
Li (0.4415, 0.6889, 0.0000)  2 Cd 2.69, 2 Al 2.73, 2 Li 2.99
Li (0.5000, 0.0000, 0.0000)  4 Cd 2.64
Li (0.5585, 0.3111, 0.0000)  2 Cd 2.69, 2 Al 2.73, 2 Li 2.99
Li (0.6889, 0.5585, 0.0000)  2 Cd 2.69, 2 Al 2.73, 2 Li 2.99
Li (0.8111, 0.0585, 0.0000)  2 Cd 2.69, 2 Al 2.73, 2 Li 2.99
Li (0.9415, 0.8111, 0.0000)  2 Cd 2.69, 2 Al 2.73, 2 Li 2.99
Mg (0.1689, 0.6689, 0.5000)  3 Cd 3.01-3.24, 6 Li 3.08-3.35
Mg (0.3311, 0.1689, 0.5000)  3 Cd 3.01-3.24, 6 Li 3.08-3.35
Mg (0.6689, 0.8311, 0.5000)  3 Cd 3.01-3.24, 6 Li 3.08-3.35
Mg (0.8311, 0.3311, 0.5000)  3 Cd 3.01-3.24, 6 Li 3.08-3.35
Al (0.0000, 0.0000, 0.5000)  8 Li 2.73
Al (0.5000, 0.5000, 0.5000)  8 Li 2.73
Cd (0.1318, 0.3682, 0.5000)  6 Li 2.64-2.69
Cd (0.3682, 0.8682, 0.5000)  6 Li 2.64-2.69
Cd (0.6318, 0.1318, 0.5000)  6 Li 2.64-2.69
Cd (0.8682, 0.6318, 0.5000)  6 Li 2.64-2.69

Calculated values
uncorrected energy = -1.88 eV/atom
magnetization = 0.0 Bohr magnetons per cell
volume = 19.70 Å³ per atom
ρ = 2.83 g cm⁻³
calculated formation energy = -50 meV per atom


Entry 8:
Computed, not measured: crystalline Li2Mg4AlCd2 at its relaxed geometry at the PBE level of DFT.

abc: 4.9456 6.3065 6.4134
angles: 75.11 76.73 84.79
With the nearest neighbours (Å) after each atom.
Sites, in units of the cell vectors:
Li (0.2309, 0.2811, 0.0983)  1 Al 2.78, 4 Mg 2.85-2.94, 3 Cd 2.87-3.05
Li (0.7691, 0.7189, 0.9017)  1 Al 2.78, 4 Mg 2.85-2.94, 3 Cd 2.87-3.05
Mg (0.3119, 0.5931, 0.6817)  3 Li 2.85-3.18, 1 Al 2.98, 3 Mg 3.05-3.14, 1 Cd 3.05
Mg (0.3901, 0.0602, 0.7347)  2 Al 2.81-3.08, 2 Li 2.88-2.94, 3 Cd 2.92-3.13, 2 Mg 3.12-3.14
Mg (0.6099, 0.9398, 0.2653)  2 Al 2.81-3.08, 2 Li 2.88-2.94, 3 Cd 2.92-3.13, 2 Mg 3.12-3.14
Mg (0.6881, 0.4069, 0.3183)  3 Li 2.85-3.18, 1 Al 2.98, 3 Mg 3.05-3.14, 1 Cd 3.05
Al (0.0000, 0.0000, 0.5000)  2 Li 2.78, 6 Mg 2.81-3.08, 2 Cd 3.03
Cd (0.1764, 0.7131, 0.1757)  3 Li 2.87-3.05, 5 Mg 2.92-3.20, 1 Al 3.03
Cd (0.8236, 0.2869, 0.8243)  3 Li 2.87-3.05, 5 Mg 2.92-3.20, 1 Al 3.03

Calculated values
uncorrected energy = -1.81 eV/atom
magnetization = 0.0 Bohr magnetons per cell
volume = 20.89 Å³ per atom
ρ = 3.20 g cm⁻³
calculated formation energy = -54 meV per atom


Entry 9:
Computed, not measured: crystalline LiMgAlCd at its relaxed geometry at the PBE level of DFT.

abc: 8.0252 4.6239 5.2448
angles: 90.00 90.04 90.00
With the nearest neighbours (Å) after each atom.
Sites, in units of the cell vectors:
Li (0.0000, 0.0000, 0.0000)  3 Al 2.89, 3 Cd 3.07
Li (0.5000, 0.5000, 0.0000)  3 Al 2.89, 3 Cd 3.07
Mg (0.3342, 0.0000, 0.4057)  3 Al 2.86, 3 Cd 3.11-3.12
Mg (0.8342, 0.5000, 0.4057)  3 Al 2.86, 3 Cd 3.11-3.12
Al (0.1671, 0.5000, 0.2098)  2 Cd 2.62-2.63, 3 Mg 2.86, 3 Li 2.89
Al (0.6671, 0.0000, 0.2098)  2 Cd 2.62-2.63, 3 Mg 2.86, 3 Li 2.89
Cd (0.1671, 0.5000, 0.7108)  2 Al 2.62-2.63
Cd (0.6671, 0.0000, 0.7108)  2 Al 2.62-2.63

Calculated values
uncorrected energy = -1.92 eV/atom
magnetization = 0.0 Bohr magnetons per cell
volume = 24.33 Å³ per atom
ρ = 2.91 g cm⁻³
polymorph energy (0 for the lowest one) = 0.209 eV/atom
calculated formation energy = 126 meV per atom


Entry 10:
Computed, not measured: crystalline LiMnAlCd at its relaxed geometry at the PBE level of DFT.

abc: 6.3773 6.3773 6.3773
angles: 90.00 90.00 90.00
With the nearest neighbours (Å) after each atom.
Sites, in units of the cell vectors:
Li (0.0000, 0.0000, 0.0000)  4 Cd 2.76, 4 Al 2.76
Li (0.0000, 0.5000, 0.5000)  4 Cd 2.76, 4 Al 2.76
Li (0.5000, 0.0000, 0.5000)  4 Cd 2.76, 4 Al 2.76
Li (0.5000, 0.5000, 0.0000)  4 Cd 2.76, 4 Al 2.76
Mn (0.0000, 0.0000, 0.5000)  4 Cd 2.76, 4 Al 2.76
Mn (0.0000, 0.5000, 0.0000)  4 Cd 2.76, 4 Al 2.76
Mn (0.5000, 0.0000, 0.0000)  4 Cd 2.76, 4 Al 2.76
Mn (0.5000, 0.5000, 0.5000)  4 Cd 2.76, 4 Al 2.76
Al (0.2500, 0.2500, 0.7500)  4 Mn 2.76, 4 Li 2.76
Al (0.2500, 0.7500, 0.2500)  4 Mn 2.76, 4 Li 2.76
Al (0.7500, 0.2500, 0.2500)  4 Mn 2.76, 4 Li 2.76
Al (0.7500, 0.7500, 0.7500)  4 Mn 2.76, 4 Li 2.76
Cd (0.2500, 0.2500, 0.2500)  4 Mn 2.76, 4 Li 2.76
Cd (0.2500, 0.7500, 0.7500)  4 Mn 2.76, 4 Li 2.76
Cd (0.7500, 0.2500, 0.7500)  4 Mn 2.76, 4 Li 2.76
Cd (0.7500, 0.7500, 0.2500)  4 Mn 2.76, 4 Li 2.76

Calculated values
uncorrected energy = -3.97 eV/atom
magnetization = 13.7 Bohr magnetons per cell
volume = 16.21 Å³ per atom
ρ = 5.15 g cm⁻³
calculated formation energy = -30 meV per atom


Entry 11:
Computed, not measured: crystalline NaLiAlCd at its relaxed geometry at the PBE level of DFT.

abc: 6.8640 6.8640 6.8640
angles: 90.00 90.00 90.00
With the nearest neighbours (Å) after each atom.
Sites, in units of the cell vectors:
Na (0.0000, 0.0000, 0.0000)  4 Cd 2.97, 4 Li 2.97
Na (0.0000, 0.5000, 0.5000)  4 Cd 2.97, 4 Li 2.97
Na (0.5000, 0.0000, 0.5000)  4 Cd 2.97, 4 Li 2.97
Na (0.5000, 0.5000, 0.0000)  4 Cd 2.97, 4 Li 2.97
Li (0.2500, 0.2500, 0.2500)  4 Na 2.97, 4 Al 2.97
Li (0.2500, 0.7500, 0.7500)  4 Na 2.97, 4 Al 2.97
Li (0.7500, 0.2500, 0.7500)  4 Na 2.97, 4 Al 2.97
Li (0.7500, 0.7500, 0.2500)  4 Na 2.97, 4 Al 2.97
Al (0.0000, 0.0000, 0.5000)  4 Li 2.97, 4 Cd 2.97
Al (0.0000, 0.5000, 0.0000)  4 Li 2.97, 4 Cd 2.97
Al (0.5000, 0.0000, 0.0000)  4 Li 2.97, 4 Cd 2.97
Al (0.5000, 0.5000, 0.5000)  4 Li 2.97, 4 Cd 2.97
Cd (0.2500, 0.2500, 0.7500)  4 Al 2.97, 4 Na 2.97
Cd (0.2500, 0.7500, 0.2500)  4 Al 2.97, 4 Na 2.97
Cd (0.7500, 0.2500, 0.2500)  4 Al 2.97, 4 Na 2.97
Cd (0.7500, 0.7500, 0.7500)  4 Al 2.97, 4 Na 2.97

Calculated values
uncorrected energy = -2.03 eV/atom
magnetization = 0.0 Bohr magnetons per cell
volume = 20.21 Å³ per atom
ρ = 3.48 g cm⁻³
calculated formation energy = -57 meV per atom


Entry 12:
Computed, not measured: crystalline LiAlCdP2 at its relaxed geometry at the PBE level of DFT.

abc: 4.9721 4.9721 4.8262
angles: 90.00 90.00 90.00
With the nearest neighbours (Å) after each atom.
Sites, in units of the cell vectors:
Li (0.0000, 0.0000, 0.0000)  2 Cd 2.41
Al (0.5000, 0.5000, 0.0000)  8 P 3.46, 4 Li 3.52
Cd (0.0000, 0.0000, 0.5000)  2 Li 2.41, 4 P 2.49
P (0.0000, 0.5000, 0.5000)  2 Cd 2.49
P (0.5000, 0.0000, 0.5000)  2 Cd 2.49

Calculated values
uncorrected energy = -2.71 eV/atom
magnetization = 0.0 Bohr magnetons per cell
volume = 23.86 Å³ per atom
ρ = 2.90 g cm⁻³
calculated formation energy = 768 meV per atom